1.
Below is HfPN2O after structural relaxation, with properties calculated at the PBE level.

Unit cell a=4.2796 b=4.2796 c=3.9562 alpha=90.00 beta=90.00 gamma=90.00
With the nearest neighbours (Å) after each atom.
Element x y z (fractional)
Hf (0.0000, 0.0000, 0.0000)  2 O 1.98, 4 N 2.14
P (0.5000, 0.5000, 0.5000)  8 N 2.91, 4 O 3.03
N (0.0000, 0.5000, 0.0000)  2 Hf 2.14
N (0.5000, 0.0000, 0.0000)  2 Hf 2.14
O (0.0000, 0.0000, 0.5000)  2 Hf 1.98

Computed properties:
Its density is 5.809 g/cm³. For the uncorrected formation energy, the calculation gives 0.264 eV/atom. The calculation puts the total magnetization at 1.008 μB per cell. The value obtained for the volume is 14.49 Å³ per atom. The value obtained for the total energy is -7.130 eV per atom.

---

2.
Below is HfPdN2O after structural relaxation, with properties calculated at the PBE level.

Unit cell a=3.9078 b=3.9078 c=3.8363 alpha=90.00 beta=90.00 gamma=90.00
With the nearest neighbours (Å) after each atom.
Element x y z (fractional)
Hf (0.0000, 0.0000, 0.0000)  8 N 2.74, 4 O 2.76
Pd (0.5000, 0.5000, 0.5000)  2 O 1.92, 4 N 1.95
N (0.0000, 0.5000, 0.5000)  2 Pd 1.95
N (0.5000, 0.0000, 0.5000)  2 Pd 1.95
O (0.5000, 0.5000, 0.0000)  2 Pd 1.92

Computed properties:
Its density is 9.323 g/cm³. For the uncorrected formation energy, the calculation gives 0.388 eV/atom. The calculation puts the total magnetization at 0.000 μB per cell. The value obtained for the volume is 11.72 Å³ per atom. The value obtained for the total energy is -6.963 eV per atom.

---

3.
Below is HfPdN2O after structural relaxation, with properties calculated at the PBE level.

Unit cell a=4.2393 b=4.2393 c=4.0024 alpha=90.00 beta=90.00 gamma=90.00
With the nearest neighbours (Å) after each atom.
Element x y z (fractional)
Hf (0.0000, 0.0000, 0.0000)  2 O 2.00, 4 N 2.12
Pd (0.5000, 0.5000, 0.5000)  8 N 2.92, 4 O 3.00
N (0.0000, 0.5000, 0.0000)  2 Hf 2.12
N (0.5000, 0.0000, 0.0000)  2 Hf 2.12
O (0.0000, 0.0000, 0.5000)  2 Hf 2.00

Computed properties:
Its density is 7.594 g/cm³. For the uncorrected formation energy, the calculation gives 0.095 eV/atom. The calculation puts the total magnetization at 2.302 μB per cell. The value obtained for the volume is 14.39 Å³ per atom. The value obtained for the total energy is -7.256 eV per atom.

---

4.
Below is PrHfNO2 after structural relaxation, with properties calculated at the PBE level.

Unit cell a=5.8628 b=5.8628 c=5.8628 alpha=122.51 beta=122.51 gamma=85.71
With the nearest neighbours (Å) after each atom.
Element x y z (fractional)
Pr (0.2500, 0.7500, 0.5000)  4 O 2.54, 4 N 2.82
Pr (0.7500, 0.2500, 0.5000)  4 O 2.54, 4 N 2.82
Hf (0.0000, 0.0000, 0.0000)  4 O 2.09, 2 N 2.15
Hf (0.5000, 0.5000, 0.0000)  4 O 2.09, 2 N 2.15
N (0.2500, 0.2500, 0.0000)  2 Hf 2.15
N (0.7500, 0.7500, 0.0000)  2 Hf 2.15
O (0.1697, 0.6697, 0.8394)  2 Hf 2.09
O (0.3303, 0.1697, 0.5000)  2 Hf 2.09
O (0.6697, 0.8303, 0.5000)  2 Hf 2.09
O (0.8303, 0.3303, 0.1606)  2 Hf 2.09

Computed properties:
Its density is 8.879 g/cm³. For the uncorrected formation energy, the calculation gives -2.765 eV/atom. The calculation puts the total magnetization at 0.000 μB per cell. The value obtained for the volume is 13.67 Å³ per atom. The value obtained for the total energy is -9.360 eV per atom.

---

5.
Below is HfPtNO2 after structural relaxation, with properties calculated at the PBE level.

Unit cell a=4.0060 b=4.0060 c=4.3688 alpha=90.00 beta=90.00 gamma=90.00
With the nearest neighbours (Å) after each atom.
Element x y z (fractional)
Hf (0.0000, 0.0000, 0.0000)  4 O 2.00, 2 N 2.18
Pt (0.5000, 0.5000, 0.5000)  4 N 2.83, 8 O 2.96
N (0.0000, 0.0000, 0.5000)  2 Hf 2.18
O (0.0000, 0.5000, 0.0000)  2 Hf 2.00
O (0.5000, 0.0000, 0.0000)  2 Hf 2.00

Computed properties:
Its density is 9.937 g/cm³. For the uncorrected formation energy, the calculation gives -0.522 eV/atom. The calculation puts the total magnetization at 1.778 μB per cell. The value obtained for the volume is 14.02 Å³ per atom. The value obtained for the total energy is -7.369 eV per atom.

---

6.
Below is HfPtN2O after structural relaxation, with properties calculated at the PBE level.

Unit cell a=3.9341 b=3.9341 c=3.8796 alpha=90.00 beta=90.00 gamma=90.00
With the nearest neighbours (Å) after each atom.
Element x y z (fractional)
Hf (0.0000, 0.0000, 0.0000)  8 N 2.76, 4 O 2.78
Pt (0.5000, 0.5000, 0.5000)  2 O 1.94, 4 N 1.97
N (0.0000, 0.5000, 0.5000)  2 Pt 1.97
N (0.5000, 0.0000, 0.5000)  2 Pt 1.97
O (0.5000, 0.5000, 0.0000)  2 Pt 1.94

Computed properties:
Its density is 11.548 g/cm³. For the uncorrected formation energy, the calculation gives 0.399 eV/atom. The calculation puts the total magnetization at 0.000 μB per cell. The value obtained for the volume is 12.01 Å³ per atom. The value obtained for the total energy is -7.122 eV per atom.

---

What did the first record say?
Below is HfPN2O after structural relaxation, with properties calculated at the PBE level.

Unit cell a=4.2796 b=4.2796 c=3.9562 alpha=90.00 beta=90.00 gamma=90.00
With the nearest neighbours (Å) after each atom.
Element x y z (fractional)
Hf (0.0000, 0.0000, 0.0000)  2 O 1.98, 4 N 2.14
P (0.5000, 0.5000, 0.5000)  8 N 2.91, 4 O 3.03
N (0.0000, 0.5000, 0.0000)  2 Hf 2.14
N (0.5000, 0.0000, 0.0000)  2 Hf 2.14
O (0.0000, 0.0000, 0.5000)  2 Hf 1.98

Computed properties:
Its density is 5.809 g/cm³. For the uncorrected formation energy, the calculation gives 0.264 eV/atom. The calculation puts the total magnetization at 1.008 μB per cell. The value obtained for the volume is 14.49 Å³ per atom. The value obtained for the total energy is -7.130 eV per atom.

---

What is the volume in the third record?
14.39 Å³ per atom

---

The highest density belongs to which entry?
HfPtN2O

---

Which of these has the highest total magnetization?
number 3